No. 1
First-principles (PBE) data for crystalline SrNb2PdAu at its relaxed geometry, as listed in Alexandria.

The structure in POSCAR format:
```
SrNb2PdAu
1.0
-3.920 -2.684 1.624
1.636 -4.401 -3.327
2.794 -1.805 3.761
Sr Au Pd Nb
1 1 1 2
Direct
0.000 0.500 0.000 Sr
0.000 0.000 0.000 Au
0.500 0.500 0.500 Pd
0.500 0.000 0.000 Nb
0.000 0.000 0.500 Nb
```

Energy of formation from the pure elements, eV per atom: 1.156
Space-group type: No. 123

=====

No. 2
First-principles (PBE) data for crystalline TbY6Tm3 at its relaxed geometry, as listed in Alexandria.

The structure in POSCAR format:
```
TbY6Tm3
1.0
-7.054 2.119 -4.904
-3.665 -7.980 -1.085
-6.278 0.249 6.230
Y Tm Tb
12 6 2
Direct
0.288 0.904 0.287 Y
0.096 0.713 0.712 Y
0.542 0.542 0.833 Y
0.542 0.833 0.542 Y
0.458 0.167 0.458 Y
0.167 0.458 0.458 Y
0.287 0.288 0.904 Y
0.712 0.096 0.713 Y
0.458 0.458 0.167 Y
0.904 0.287 0.288 Y
0.713 0.712 0.096 Y
0.833 0.542 0.542 Y
0.632 0.107 0.108 Tm
0.892 0.368 0.893 Tm
0.893 0.892 0.368 Tm
0.108 0.632 0.107 Tm
0.107 0.108 0.632 Tm
0.368 0.893 0.892 Tm
0.500 0.500 0.500 Tb
0.000 0.000 0.000 Tb
```

Energy of formation from the pure elements, eV per atom: 0.325
Space-group type: No. 148
Polymorph energy (0 for the lowest one), meV/atom: 206

=====

No. 3
First-principles (PBE) data for crystalline LaHo2Pd2 at its relaxed geometry, as listed in Alexandria.

The structure in POSCAR format:
```
LaHo2Pd2
1.0
6.364 0.005 -0.005
3.191 6.208 1.214
3.175 1.092 7.025
Ho La Pd
4 2 4
Direct
0.784 0.885 0.701 Ho
0.371 0.616 0.798 Ho
0.629 0.384 0.202 Ho
0.216 0.115 0.299 Ho
0.871 0.749 0.249 La
0.129 0.251 0.751 La
0.250 0.662 0.462 Pd
0.750 0.338 0.538 Pd
0.375 0.838 0.037 Pd
0.625 0.162 0.963 Pd
```

Energy of formation from the pure elements, eV per atom: -0.632
Space-group type: No. 2

=====

No. 4
First-principles (PBE) data for crystalline SrTaP2Cl at its relaxed geometry, as listed in Alexandria.

The structure in POSCAR format:
```
SrTaP2Cl
1.0
-2.373 -0.114 -4.262
-0.458 -4.842 0.385
-4.298 0.596 2.377
P Cl Sr Ta
2 1 1 1
Direct
0.500 0.000 0.000 P
0.000 0.500 0.000 P
0.000 0.000 0.500 Cl
0.500 0.500 0.500 Sr
0.000 0.000 0.000 Ta
```

ΔE_f (raw), eV/atom: -0.76
Space-group type: No. 123
Polymorph energy (0 for the lowest one), meV/atom: 0

=====

No. 5
First-principles (PBE) data for crystalline KSrRu2 at its relaxed geometry, as listed in Alexandria.

The structure in POSCAR format:
```
KSrRu2
1.0
5.870 0.013 0.013
2.961 5.068 -0.013
-4.426 -2.522 2.916
K Sr Ru
1 1 2
Direct
0.750 0.250 0.500 K
0.250 0.750 0.500 Sr
0.000 0.000 0.000 Ru
0.500 0.500 0.000 Ru
```

Energy of formation from the pure elements, eV per atom: 1.157
Space-group type: No. 71
Polymorph energy (0 for the lowest one), meV/atom: 755

=====

No. 6
First-principles (PBE) data for crystalline CaTl2MoW at its relaxed geometry, as listed in Alexandria.

The structure in POSCAR format:
```
CaTl2MoW
1.0
5.311 0.000 0.000
0.000 4.595 0.000
0.000 0.000 5.311
W Tl Mo Ca
1 2 1 1
Direct
0.500 0.500 0.500 W
0.000 0.000 0.500 Tl
0.500 0.000 0.000 Tl
0.000 0.500 0.000 Mo
0.000 0.000 0.000 Ca
```

Energy of formation from the pure elements, eV per atom: 2.597
Space-group type: No. 123

=====

No. 7
First-principles (PBE) data for crystalline DyMgCu5 at its relaxed geometry, as listed in Alexandria.

The structure in POSCAR format:
```
DyMgCu5
1.0
-4.412 2.384 0.465
-3.875 -6.573 -3.077
-1.078 -3.875 9.636
Cu Dy Mg
20 4 4
Direct
0.495 0.068 0.688 Cu
0.750 0.052 0.896 Cu
0.250 0.687 0.244 Cu
0.750 0.813 0.744 Cu
0.250 0.448 0.396 Cu
0.505 0.932 0.312 Cu
0.505 0.432 0.188 Cu
0.005 0.568 0.812 Cu
0.250 0.187 0.256 Cu
0.250 0.948 0.104 Cu
0.750 0.313 0.756 Cu
0.750 0.412 0.983 Cu
0.250 0.588 0.017 Cu
0.750 0.912 0.517 Cu
0.495 0.568 0.812 Cu
0.005 0.068 0.688 Cu
0.250 0.088 0.483 Cu
0.995 0.432 0.188 Cu
0.750 0.552 0.604 Cu
0.995 0.932 0.312 Cu
0.250 0.748 0.560 Dy
0.250 0.248 0.940 Dy
0.750 0.252 0.440 Dy
0.750 0.752 0.060 Dy
0.250 0.863 0.861 Mg
0.250 0.363 0.639 Mg
0.750 0.137 0.139 Mg
0.750 0.637 0.361 Mg
```

Energy of formation from the pure elements, eV per atom: -0.201
Space-group type: No. 62

=====

No. 8
First-principles (PBE) data for crystalline Fe2Bi2W at its relaxed geometry, as listed in Alexandria.

The structure in POSCAR format:
```
Fe2Bi2W
1.0
-1.418 1.370 -2.653
-2.377 -2.296 0.085
-6.539 4.529 3.776
Fe Bi W
2 2 1
Direct
0.750 0.250 0.500 Fe
0.250 0.750 0.500 Fe
0.391 0.391 0.217 Bi
0.609 0.609 0.783 Bi
0.000 0.000 0.000 W
```

Energy of formation from the pure elements, eV per atom: 1.091
Space-group type: No. 139

=====

No. 9
First-principles (PBE) data for crystalline PmDy2S4 at its relaxed geometry, as listed in Alexandria.

The structure in POSCAR format:
```
PmDy2S4
1.0
-2.808 -0.331 -2.621
2.945 -6.076 0.447
-8.486 -3.413 9.519
Pm S Dy
2 8 4
Direct
0.625 0.250 0.750 Pm
0.375 0.750 0.250 Pm
0.034 0.069 0.250 S
0.774 0.548 0.380 S
0.500 0.000 0.000 S
0.500 0.000 0.500 S
0.226 0.452 0.880 S
0.226 0.452 0.620 S
0.966 0.931 0.750 S
0.774 0.548 0.120 S
0.130 0.259 0.431 Dy
0.870 0.741 0.931 Dy
0.870 0.741 0.569 Dy
0.130 0.259 0.069 Dy
```

ΔE_f (raw), eV/atom: -2.07
Space-group type: No. 63
Polymorph energy (0 for the lowest one), meV/atom: 0

=====

No. 10
First-principles (PBE) data for crystalline NaLiAl2Tc at its relaxed geometry, as listed in Alexandria.

The structure in POSCAR format:
```
NaLiAl2Tc
1.0
-1.962 -3.766 -1.579
1.979 -2.264 2.940
-3.483 0.628 2.829
Al Tc Li Na
2 1 1 1
Direct
0.500 0.000 0.000 Al
0.000 0.000 0.500 Al
0.500 0.500 0.500 Tc
0.000 0.000 0.000 Li
0.000 0.500 0.000 Na
```

Energy of formation from the pure elements, eV per atom: 0.894
Space-group type: No. 123

=====

No. 11
First-principles (PBE) data for crystalline Be2SiNi2 at its relaxed geometry, as listed in Alexandria.

The structure in POSCAR format:
```
Be2SiNi2
1.0
6.034 0.000 0.000
0.000 6.034 0.000
0.000 0.000 2.810
Si Ni Be
2 4 4
Direct
0.000 0.000 0.000 Si
0.500 0.500 0.000 Si
0.347 0.847 0.000 Ni
0.653 0.153 0.000 Ni
0.847 0.653 0.000 Ni
0.153 0.347 0.000 Ni
0.360 0.140 0.500 Be
0.860 0.360 0.500 Be
0.640 0.860 0.500 Be
0.140 0.640 0.500 Be
```

ΔE_f (raw), eV/atom: -0.27
Space-group type: No. 127
Polymorph energy (0 for the lowest one), meV/atom: 127

=====

Quick rundown of M_tot, same order as above: 2.38; 0.00; 0.00; 0.00; 2.10; 0.01; 0.00; 0.00; 0.00; 2.53; 0.00 μB/f.u.
Quick rundown of DFT total energy, same order as above: -0.360; -0.394; -0.406; -0.441; -0.307; -0.258; -0.295; -0.473; -0.472; -0.244; -0.379 Ry per atom